Record 1
Material: SiOsPb2
Method: DFT, meta-GGA SCAN
State: single point on PBEsol structure

Calculated values
- Calculated volume: 19.89 A^3/atom
- SG: No. 216
- ΔE_f (raw): 1.069 eV/atom

Geometry as extended XYZ:
```
4
Lattice="0.0000 3.4139 3.4139 3.4139 0.0000 3.4139 3.4139 3.4139 0.0000" Properties=species:S:1:pos:R:3 pbc="T T T"
Si 0.0000 0.0000 0.0000
Os 1.7069 1.7069 1.7069
Pb 3.4139 3.4139 3.4139
Pb 5.1208 5.1208 5.1208
```

---

Record 2
Material: LaMgSc2
Method: DFT, meta-GGA SCAN
State: single point on PBEsol structure

Calculated values
- Calculated volume: 26.03 A^3/atom
- SG: No. 71
- ΔE_f: 0.109 eV/f.u.

Geometry as extended XYZ:
```
4
Lattice="-1.8009 2.7164 5.3209 1.8009 -2.7164 5.3209 1.8009 2.7164 -5.3209" Properties=species:S:1:pos:R:3 pbc="T T T"
La 0.0000 0.0000 0.0000
Mg 0.0000 0.0000 5.3209
Sc 1.8009 0.0000 2.8658
Sc 0.0000 2.7164 2.4552
```

---

Record 3
Material: LiAsN2F
Method: DFT, meta-GGA SCAN
State: single point on PBEsol structure

Calculated values
- Calculated volume: 11.11 A^3/atom
- SG: No. 123
- ΔE_f (raw): 0.028 eV/atom

Geometry as extended XYZ:
```
5
Lattice="3.6281 0.0000 0.0000 0.0000 3.6281 0.0000 0.0000 0.0000 4.2209" Properties=species:S:1:pos:R:3 pbc="T T T"
Li 0.0000 0.0000 0.0000
As 1.8140 1.8140 2.1105
N 0.0000 1.8140 2.1105
N 1.8140 0.0000 2.1105
F 1.8140 1.8140 0.0000
```

---

Record 4
Material: YTiNbO6
Method: DFT, meta-GGA SCAN
State: single point on PBEsol structure

Calculated values
- Calculated volume: 11.67 A^3/atom
- SG: No. 14
- ΔE_f (raw): -3.368 eV/atom

Geometry as extended XYZ:
```
36
Lattice="5.1689 0.0000 0.0000 0.0000 14.6701 0.0000 -0.0611 0.0000 5.5384" Properties=species:S:1:pos:R:3 pbc="T T T"
Y 1.2490 14.6668 1.3160
Y 1.2184 7.3384 4.0852
Y 3.8589 0.0034 4.2223
Y 3.8895 7.3317 1.4532
Ti 0.9048 2.3964 3.8232
Ti 0.9354 4.9386 1.0540
Ti 4.1725 9.7315 4.4844
Ti 4.2030 12.2737 1.7152
Nb 1.6619 9.8170 1.0171
Nb 1.6313 12.1882 3.7863
Nb 3.4765 2.4820 1.7521
Nb 3.4460 4.8531 4.5212
O 0.1891 8.6720 0.3053
O 0.1586 13.3332 3.0745
O 0.3660 1.2642 5.0743
O 0.3965 6.0708 2.3051
O 0.6831 10.8405 4.7750
O 0.7136 11.1646 2.0058
O 1.8131 3.5605 2.0474
O 1.7826 3.7746 4.8166
O 2.1442 8.5731 2.2961
O 2.1136 13.4321 5.0653
O 2.3481 1.3385 3.1347
O 2.3787 5.9966 0.3655
O 2.7292 8.6735 5.1729
O 2.7598 13.3317 2.4037
O 2.9943 1.2381 0.4730
O 2.9637 6.0970 3.2422
O 3.3253 10.8956 0.7218
O 3.2948 11.1096 3.4909
O 4.3943 3.5055 3.5326
O 4.4248 3.8296 0.7634
O 4.7114 8.5993 3.2333
O 4.7419 13.4059 0.4641
O 4.9493 1.3369 2.4639
O 4.9187 5.9981 5.2331
```

---

Record 5
Material: Zr2TeIr
Method: DFT, meta-GGA SCAN
State: single point on PBEsol structure

Calculated values
- Calculated volume: 22.24 A^3/atom
- SG: No. 166
- ΔE_f (raw): -0.924 eV/atom

Geometry as extended XYZ:
```
4
Lattice="1.9205 1.1088 6.9634 -1.9205 1.1088 6.9634 0.0000 -2.2176 6.9634" Properties=species:S:1:pos:R:3 pbc="T T T"
Zr 0.0000 0.0000 4.9098
Zr 0.0000 0.0000 15.9804
Te 0.0000 0.0000 0.0000
Ir 0.0000 0.0000 10.4451
```

---

Record 6
Material: LaSiSb2
Method: DFT, meta-GGA SCAN
State: single point on PBEsol structure

Calculated values
- Calculated volume: 25.59 A^3/atom
- SG: No. 8
- ΔE_f (raw): -0.423 eV/atom

Geometry as extended XYZ:
```
4
Lattice="5.4818 -1.9345 0.0000 5.4818 1.9345 0.0000 -2.5693 0.0000 4.8269" Properties=species:S:1:pos:R:3 pbc="T T T"
La 0.0000 0.0000 0.0000
Si 7.1909 0.0000 1.7963
Sb 0.4741 0.0000 3.3606
Sb 3.7206 0.0000 2.2071
```

---

Record 7
Material: LuZnCuAs2
Method: DFT, meta-GGA SCAN
State: single point on PBEsol structure

Calculated values
- Calculated volume: 18.37 A^3/atom
- SG: No. 156
- ΔE_f: -3.553 eV/f.u.

Geometry as extended XYZ:
```
5
Lattice="4.0221 0.0000 0.0000 -2.0110 3.4832 0.0000 0.0000 0.0000 6.5555" Properties=species:S:1:pos:R:3 pbc="T T T"
Lu 0.0000 0.0000 0.0000
Zn 0.0000 2.3222 3.9688
Cu 2.0110 1.1611 2.2635
As 0.0000 2.3222 1.5088
As 2.0110 1.1611 4.8445
```

---

Record 8
Material: MnTl2Se
Method: DFT, meta-GGA SCAN
State: single point on PBEsol structure

Calculated values
- Calculated volume: 23.06 A^3/atom
- SG: No. 65
- Offset from the most stable computed form: 101 kJ/mol of formula units
- ΔE_f (raw): 0.035 eV/atom

Geometry as extended XYZ:
```
4
Lattice="3.0929 -3.8720 0.0000 3.0929 3.8720 0.0000 0.0000 0.0000 3.8516" Properties=species:S:1:pos:R:3 pbc="T T T"
Mn 0.0000 0.0000 0.0000
Tl 1.5464 1.9360 1.9258
Tl 1.5464 -1.9360 1.9258
Se 3.0929 0.0000 0.0000
```

---

Record 9
Material: NiSbOs2
Method: DFT, meta-GGA SCAN
State: single point on PBEsol structure

Calculated values
- Calculated volume: 14.72 A^3/atom
- SG: No. 8
- ΔE_f (raw): 0.469 eV/atom

Geometry as extended XYZ:
```
4
Lattice="4.3799 -1.4567 0.0000 4.3799 1.4567 0.0000 -0.8139 0.0000 4.6142" Properties=species:S:1:pos:R:3 pbc="T T T"
Ni 0.0000 0.0000 0.0000
Sb 6.3943 0.0000 1.0705
Os 1.6080 0.0000 3.4595
Os 4.0114 0.0000 2.4811
```

---

Record 10
Material: La3HgH
Method: DFT, meta-GGA SCAN
State: single point on PBEsol structure

Calculated values
- Calculated volume: 24.59 A^3/atom
- Total DFT energy (no corrections): -40.582 eV/atom
- SG: No. 221

Geometry as extended XYZ:
```
5
Lattice="4.9724 0.0000 0.0000 0.0000 4.9724 0.0000 0.0000 0.0000 4.9724" Properties=species:S:1:pos:R:3 pbc="T T T"
La 0.0000 0.0000 2.4862
La 0.0000 2.4862 0.0000
La 2.4862 0.0000 0.0000
Hg 2.4862 2.4862 2.4862
H 0.0000 0.0000 0.0000
```

---

Record 11
Material: Li2HgPt
Method: DFT, meta-GGA SCAN
State: single point on PBEsol structure

Calculated values
- Calculated volume: 14.78 A^3/atom
- SG: No. 123
- ΔE_f: -2.087 eV/f.u.

Geometry as extended XYZ:
```
4
Lattice="3.9579 0.0000 0.0000 0.0000 3.9579 0.0000 0.0000 0.0000 3.7731" Properties=species:S:1:pos:R:3 pbc="T T T"
Li 0.0000 1.9789 0.0000
Li 1.9789 0.0000 0.0000
Hg 0.0000 0.0000 1.8866
Pt 1.9789 1.9789 1.8866
```

---

Record 12
Material: Be3CrI
Method: DFT, meta-GGA SCAN
State: single point on PBEsol structure

Calculated values
- Calculated volume: 17.54 A^3/atom
- SG: No. 221
- ΔE_f (raw): 1.441 eV/atom

Geometry as extended XYZ:
```
5
Lattice="4.4425 0.0000 0.0000 0.0000 4.4425 0.0000 0.0000 0.0000 4.4425" Properties=species:S:1:pos:R:3 pbc="T T T"
Be 0.0000 0.0000 2.2212
Be 0.0000 2.2212 0.0000
Be 2.2212 0.0000 0.0000
Cr 0.0000 0.0000 0.0000
I 2.2212 2.2212 2.2212
```